[1]
La4PmHo3Se8 after structural relaxation, computed with PBE.

Cell: 8.446 8.446 8.446 Å, 59.37 59.37 59.37°
Element x y z (fractional)
La: 0.000 0.000 0.000
La: 0.000 0.500 0.500
La: 0.500 0.000 0.500
La: 0.500 0.500 0.000
Pm: 0.500 0.500 0.500
Ho: 0.000 0.000 0.500
Ho: 0.000 0.500 0.000
Ho: 0.500 0.000 0.000
Se: 0.238 0.747 0.747
Se: 0.243 0.243 0.243
Se: 0.253 0.253 0.762
Se: 0.253 0.762 0.253
Se: 0.747 0.238 0.747
Se: 0.747 0.747 0.238
Se: 0.757 0.757 0.757
Se: 0.762 0.253 0.253

Output
Raw formation energy ... -1.8771 eV/atom
D(E_F) ... 10.252 states/eV/cell
Space group ... R-3m
Volume ... 420 Å³ per cell
Magnetic moment ... 0.000 μB per atom



[2]
TlBiNF2 after structural relaxation, computed with PBE.

Cell: 4.551 4.551 4.267 Å, 90.00 90.00 90.00°
Element x y z (fractional)
Tl: 0.000 0.000 0.000
Bi: 0.500 0.500 0.500
N: 0.000 0.000 0.500
F: 0.000 0.500 0.000
F: 0.500 0.000 0.000

Output
Raw formation energy ... -0.2433 eV/atom
Energy relative to the lowest polymorph listed for this composition ... 0.555 eV per atom
D(E_F) ... 1.853 states/eV/cell
Space group ... P4/mmm
Volume ... 88 Å³ per cell
Magnetic moment ... 0.000 μB per atom



[3]
PmCo2H6 after structural relaxation, computed with PBE.

Cell: 4.360 4.360 6.034 Å, 114.47 114.47 49.48°
Element x y z (fractional)
Pm: 0.000 0.000 0.000
Co: 0.193 0.193 0.596
Co: 0.807 0.807 0.404
H: 0.011 0.011 0.646
H: 0.292 0.292 0.895
H: 0.296 0.296 0.405
H: 0.704 0.704 0.595
H: 0.708 0.708 0.105
H: 0.989 0.989 0.354

Output
Energy relative to the lowest polymorph listed for this composition ... 0.123 eV per atom
D(E_F) ... 5.036 states/eV/cell
Space group ... C2/m
Volume ... 78 Å³ per cell
Magnetic moment ... 0.200 μB per atom



[4]
Sr2AcCd after structural relaxation, computed with PBE.

Cell: 5.272 5.272 5.839 Å, 90.00 90.00 90.00°
Element x y z (fractional)
Sr: 0.000 0.500 0.000
Sr: 0.500 0.000 0.000
Ac: 0.000 0.000 0.500
Cd: 0.500 0.500 0.500

Output
Energy relative to the lowest polymorph listed for this composition ... 0.100 eV per atom
D(E_F) ... 5.531 states/eV/cell
Energy of formation from the pure elements ... -1 kJ/mol of formula units
Space group ... P4/mmm
Volume ... 162 Å³ per cell
Magnetic moment ... 0.000 μB per atom



[5]
HgSbBr after structural relaxation, computed with PBE.

Cell: 8.135 7.729 3.600 Å, 83.26 70.67 26.07°
Element x y z (fractional)
Hg: 0.000 0.000 0.000
Sb: 0.672 0.672 0.328
Br: 0.328 0.328 0.672

Output
Raw formation energy ... 0.0520 eV/atom
Energy relative to the lowest polymorph listed for this composition ... 0.244 eV per atom
D(E_F) ... 1.605 states/eV/cell
Space group ... Fmm2
Volume ... 85 Å³ per cell
Magnetic moment ... 0.000 μB per atom



[6]
Sn2HgHPb after structural relaxation, computed with PBE.

Cell: 4.713 4.713 5.247 Å, 90.00 90.00 90.00°
Element x y z (fractional)
Sn: 0.000 0.500 0.000
Sn: 0.500 0.000 0.000
Hg: 0.000 0.000 0.500
H: 0.000 0.000 0.000
Pb: 0.500 0.500 0.500

Output
Total DFT energy (no corrections) ... -2.850 eV per atom
D(E_F) ... 2.000 states/eV/cell
Space group ... P4/mmm
Volume ... 117 Å³ per cell
Magnetic moment ... 0.000 μB per atom



[7]
TbPmSb2 after structural relaxation, computed with PBE.

Cell: 7.698 7.698 7.698 Å, 33.60 33.60 33.60°
Element x y z (fractional)
Tb: 0.000 0.000 0.000
Pm: 0.500 0.500 0.500
Sb: 0.252 0.252 0.252
Sb: 0.748 0.748 0.748

Output
Raw formation energy ... -1.1665 eV/atom
Energy relative to the lowest polymorph listed for this composition ... 0.000 eV per atom
D(E_F) ... 0.659 states/eV/cell
Space group ... R-3m
Volume ... 124 Å³ per cell
Magnetic moment ... 0.000 μB per atom



[8]
CaTlReHg2 after structural relaxation, computed with PBE.

Cell: 5.743 5.743 5.350 Å, 90.00 90.00 90.00°
Element x y z (fractional)
Ca: 0.000 0.000 0.000
Tl: 0.500 0.500 0.500
Re: 0.000 0.000 0.500
Hg: 0.000 0.500 0.000
Hg: 0.500 0.000 0.000

Output
D(E_F) ... 3.389 states/eV/cell
Energy of formation from the pure elements ... 624 kJ/mol of formula units
Space group ... P4/mmm
Volume ... 176 Å³ per cell
Magnetic moment ... 0.511 μB per atom



[9]
Y3Ga9Au2 after structural relaxation, computed with PBE.

Cell: 8.326 8.326 8.326 Å, 150.42 103.74 83.85°
Element x y z (fractional)
Y: 0.000 0.000 0.000
Y: 0.320 0.320 0.000
Y: 0.680 0.680 0.000
Ga: 0.044 0.666 0.378
Ga: 0.135 0.861 0.274
Ga: 0.288 0.666 0.622
Ga: 0.414 0.139 0.274
Ga: 0.500 0.000 0.500
Ga: 0.586 0.861 0.726
Ga: 0.712 0.334 0.378
Ga: 0.865 0.139 0.726
Ga: 0.956 0.334 0.622
Au: 0.283 0.500 0.783
Au: 0.717 0.500 0.217

Output
D(E_F) ... 4.088 states/eV/cell
Energy of formation from the pure elements ... -731 kJ/mol of formula units
Space group ... Immm
Volume ... 271 Å³ per cell
Magnetic moment ... 0.000 μB per atom



[10]
Ca4SiP4 after structural relaxation, computed with PBE.

Cell: 8.273 8.273 6.133 Å, 90.00 90.00 90.00°
Element x y z (fractional)
Ca: 0.020 0.250 0.070
Ca: 0.250 0.020 0.570
Ca: 0.250 0.480 0.570
Ca: 0.480 0.250 0.070
Ca: 0.520 0.750 0.930
Ca: 0.750 0.520 0.430
Ca: 0.750 0.980 0.430
Ca: 0.980 0.750 0.930
Si: 0.250 0.750 0.250
Si: 0.750 0.250 0.750
P: 0.022 0.750 0.457
P: 0.250 0.522 0.043
P: 0.250 0.978 0.043
P: 0.478 0.750 0.457
P: 0.522 0.250 0.543
P: 0.750 0.022 0.957
P: 0.750 0.478 0.957
P: 0.978 0.250 0.543

Output
Raw formation energy ... -1.0169 eV/atom
Energy relative to the lowest polymorph listed for this composition ... 0.027 eV per atom
Space group ... P4_2/nmc
Volume ... 420 Å³ per cell
Magnetic moment ... 0.000 μB per atom



[11]
MnMo2Os after structural relaxation, computed with PBE.

Cell: 3.166 4.300 4.335 Å, 90.00 90.00 90.00°
Element x y z (fractional)
Mn: 0.000 0.000 0.000
Mo: 0.000 0.500 0.500
Mo: 0.500 0.000 0.500
Os: 0.500 0.500 0.000

Output
Energy relative to the lowest polymorph listed for this composition ... 0.000 eV per atom
D(E_F) ... 3.027 states/eV/cell
Energy of formation from the pure elements ... 35 kJ/mol of formula units
Space group ... Pmmm
Volume ... 59 Å³ per cell
Magnetic moment ... 0.701 μB per atom



[12]
La3HPb after structural relaxation, computed with PBE.

Cell: 7.084 7.084 8.778 Å, 127.21 127.21 59.89°
Element x y z (fractional)
La: 0.200 0.706 0.695
La: 0.266 0.266 0.836
La: 0.294 0.800 0.305
La: 0.706 0.200 0.695
La: 0.734 0.734 0.164
La: 0.800 0.294 0.305
H: 0.254 0.254 0.553
H: 0.746 0.746 0.447
Pb: 0.245 0.245 0.197
Pb: 0.755 0.755 0.803

Output
Energy relative to the lowest polymorph listed for this composition ... 0.040 eV per atom
D(E_F) ... 11.867 states/eV/cell
Space group ... C2/m
Volume ... 273 Å³ per cell
Magnetic moment ... 0.002 μB per atom



[13]
VTcBr after structural relaxation, computed with PBE.

Cell: 3.007 3.131 6.288 Å, 75.60 86.10 89.92°
Element x y z (fractional)
V: 0.000 0.000 0.000
Tc: 0.621 0.386 0.229
Br: 0.581 0.173 0.663

Output
Raw formation energy ... 0.1781 eV/atom
Energy relative to the lowest polymorph listed for this composition ... 0.127 eV per atom
D(E_F) ... 2.347 states/eV/cell
Space group ... P1
Volume ... 57 Å³ per cell
Magnetic moment ... 0.000 μB per atom



[14]
In2Co after structural relaxation, computed with PBE.

Cell: 12.222 12.222 12.222 Å, 165.51 165.51 20.54°
Element x y z (fractional)
In: 0.308 0.558 0.750
In: 0.442 0.692 0.750
In: 0.558 0.308 0.250
In: 0.692 0.442 0.250
Co: 0.125 0.875 0.250
Co: 0.875 0.125 0.750

Output
D(E_F) ... 2.888 states/eV/cell
Energy of formation from the pure elements ... 40 kJ/mol of formula units
Space group ... I4_1/amd
Volume ... 114 Å³ per cell
Magnetic moment ... 0.190 μB per atom



[15]
NaIn8Sn2 after structural relaxation, computed with PBE.

Cell: 8.088 8.088 5.333 Å, 96.60 96.60 72.81°
Element x y z (fractional)
Na: 0.000 0.000 0.000
In: 0.206 0.642 0.213
In: 0.254 0.254 0.117
In: 0.358 0.794 0.787
In: 0.392 0.392 0.676
In: 0.608 0.608 0.324
In: 0.642 0.206 0.213
In: 0.746 0.746 0.883
In: 0.794 0.358 0.787
Sn: 0.138 0.138 0.569
Sn: 0.862 0.862 0.431

Output
Energy relative to the lowest polymorph listed for this composition ... 0.068 eV per atom
D(E_F) ... 5.046 states/eV/cell
Energy of formation from the pure elements ... 78 kJ/mol of formula units
Space group ... C2/m
Volume ... 330 Å³ per cell
Magnetic moment ... 0.000 μB per atom



[16]
ZnPbS2N after structural relaxation, computed with PBE.

Cell: 5.106 5.106 4.002 Å, 90.00 90.00 90.00°
Element x y z (fractional)
Zn: 0.000 0.000 0.000
Pb: 0.500 0.500 0.500
S: 0.000 0.500 0.000
S: 0.500 0.000 0.000
N: 0.000 0.000 0.500

Output
Raw formation energy ... 0.5500 eV/atom
Energy relative to the lowest polymorph listed for this composition ... 0.000 eV per atom
D(E_F) ... 3.257 states/eV/cell
Space group ... P4/mmm
Volume ... 104 Å³ per cell
Magnetic moment ... 0.469 μB per atom



[17]
CaPr6Ho8 after structural relaxation, computed with PBE.

Cell: 9.974 9.974 6.200 Å, 90.00 90.00 120.00°
Element x y z (fractional)
Ca: 0.000 0.000 0.000
Pr: 0.134 0.443 0.946
Pr: 0.309 0.866 0.946
Pr: 0.443 0.309 0.054
Pr: 0.557 0.691 0.946
Pr: 0.691 0.134 0.054
Pr: 0.866 0.557 0.054
Ho: 0.021 0.681 0.562
Ho: 0.319 0.340 0.562
Ho: 0.333 0.667 0.426
Ho: 0.340 0.021 0.438
Ho: 0.660 0.979 0.562
Ho: 0.667 0.333 0.574
Ho: 0.681 0.660 0.438
Ho: 0.979 0.319 0.438

Output
D(E_F) ... 21.671 states/eV/cell
Energy of formation from the pure elements ... 317 kJ/mol of formula units
Space group ... P-3
Volume ... 534 Å³ per cell
Magnetic moment ... 0.000 μB per atom



[18]
TmTh2Al12Fe3 after structural relaxation, computed with PBE.

Cell: 7.913 7.913 7.913 Å, 64.60 64.60 64.60°
Element x y z (fractional)
Tm: 0.000 0.000 0.000
Th: 0.418 0.418 0.418
Th: 0.582 0.582 0.582
Al: 0.097 0.727 0.727
Al: 0.162 0.162 0.528
Al: 0.162 0.528 0.162
Al: 0.273 0.273 0.903
Al: 0.273 0.903 0.273
Al: 0.472 0.838 0.838
Al: 0.528 0.162 0.162
Al: 0.727 0.097 0.727
Al: 0.727 0.727 0.097
Al: 0.838 0.472 0.838
Al: 0.838 0.838 0.472
Al: 0.903 0.273 0.273
Fe: 0.000 0.000 0.500
Fe: 0.000 0.500 0.000
Fe: 0.500 0.000 0.000

Output
D(E_F) ... 17.089 states/eV/cell
Energy of formation from the pure elements ... 354 kJ/mol of formula units
Space group ... R-3m
Volume ... 386 Å³ per cell
Magnetic moment ... 0.067 μB per atom



[19]
AsIr2Cl after structural relaxation, computed with PBE.

Cell: 4.738 4.738 6.919 Å, 94.48 94.48 35.66°
Element x y z (fractional)
As: 0.000 0.000 0.000
Ir: 0.398 0.398 0.712
Ir: 0.669 0.669 0.811
Cl: 0.282 0.282 0.400

Output
Raw formation energy ... 0.2750 eV/atom
Energy relative to the lowest polymorph listed for this composition ... 0.023 eV per atom
D(E_F) ... 2.920 states/eV/cell
Space group ... Cm
Volume ... 90 Å³ per cell
Magnetic moment ... 0.000 μB per atom



[20]
ZnCrReTc after structural relaxation, computed with PBE.

Cell: 4.304 4.304 4.304 Å, 60.00 60.00 60.00°
Element x y z (fractional)
Zn: 0.000 0.000 0.000
Cr: 0.250 0.250 0.250
Re: 0.500 0.500 0.500
Tc: 0.750 0.750 0.750

Output
D(E_F) ... 2.773 states/eV/cell
Energy of formation from the pure elements ... 59 kJ/mol of formula units
Space group ... F-43m
Volume ... 56 Å³ per cell
Magnetic moment ... 0.522 μB per atom



[21]
Ba2TeCl after structural relaxation, computed with PBE.

Cell: 5.776 5.776 4.212 Å, 90.00 90.00 90.00°
Element x y z (fractional)
Ba: 0.000 0.500 0.000
Ba: 0.500 0.000 0.000
Te: 0.000 0.000 0.500
Cl: 0.500 0.500 0.500

Output
Raw formation energy ... -1.6233 eV/atom
Energy relative to the lowest polymorph listed for this composition ... 0.164 eV per atom
D(E_F) ... 2.757 states/eV/cell
Space group ... P4/mmm
Volume ... 141 Å³ per cell
Magnetic moment ... 0.130 μB per atom



[22]
Li2CaIn after structural relaxation, computed with PBE.

Cell: 3.448 5.085 5.783 Å, 90.00 95.62 90.00°
Element x y z (fractional)
Li: 0.205 0.000 0.295
Li: 0.795 0.000 0.705
Ca: 0.500 0.500 0.000
In: 0.000 0.500 0.500

Output
D(E_F) ... 2.214 states/eV/cell
Energy of formation from the pure elements ... -63 kJ/mol of formula units
Space group ... P2/m
Volume ... 101 Å³ per cell
Magnetic moment ... 0.000 μB per atom



[23]
Pr4Bi3H2 after structural relaxation, computed with PBE.

Cell: 8.359 8.359 7.551 Å, 98.75 98.75 77.44°
Element x y z (fractional)
Pr: 0.075 0.709 0.979
Pr: 0.265 0.396 0.385
Pr: 0.291 0.925 0.521
Pr: 0.396 0.265 0.885
Pr: 0.604 0.735 0.115
Pr: 0.709 0.075 0.479
Pr: 0.735 0.604 0.615
Pr: 0.925 0.291 0.021
Bi: 0.025 0.267 0.616
Bi: 0.267 0.025 0.116
Bi: 0.389 0.611 0.750
Bi: 0.611 0.389 0.250
Bi: 0.733 0.975 0.884
Bi: 0.975 0.733 0.384
H: 0.168 0.430 0.064
H: 0.430 0.168 0.564
H: 0.570 0.832 0.436
H: 0.832 0.570 0.936

Output
Total DFT energy (no corrections) ... -4.891 eV per atom
D(E_F) ... 4.873 states/eV/cell
Space group ... C2/c
Volume ... 505 Å³ per cell
Magnetic moment ... 0.000 μB per atom



[24]
TlAg5Te4 after structural relaxation, computed with PBE.

Cell: 9.072 9.072 8.442 Å, 117.71 117.71 27.92°
Element x y z (fractional)
Tl: 0.000 0.000 0.000
Ag: 0.000 0.000 0.500
Ag: 0.318 0.318 0.039
Ag: 0.319 0.319 0.597
Ag: 0.681 0.681 0.403
Ag: 0.682 0.682 0.961
Te: 0.217 0.217 0.217
Te: 0.500 0.500 0.291
Te: 0.500 0.500 0.709
Te: 0.783 0.783 0.783

Output
Raw formation energy ... -0.0556 eV/atom
D(E_F) ... 6.350 states/eV/cell
Space group ... C2/m
Volume ... 286 Å³ per cell
Magnetic moment ... 0.000 μB per atom